[1]
## RbAlFeN2 (PBE)

Data for crystalline RbAlFeN2 at its relaxed geometry.

Output
Raw formation energy (meV per atom): 1584
Space group: No. 123
N(E_F) (states/eV per cell): 4.54

a b c (Å): 3.862 5.574 3.862
angles (deg): 90.00 90.00 90.00
Last column: magnetic moment on the atom in μB.
Positions (direct):
1 N 0.000 0.000 0.500  0.16
2 N 0.500 0.000 0.000  0.18
3 Fe 0.500 0.500 0.500  3.03
4 Rb 0.000 0.500 0.000  0.01
5 Al 0.000 0.000 0.000  -0.01

[2]
## AlFeSN2 (PBE)

Data for crystalline AlFeSN2 at its relaxed geometry.

Output
Raw formation energy (meV per atom): 556
Space group: No. 123
N(E_F) (states/eV per cell): 2.40

a b c (Å): 3.561 3.561 4.989
angles (deg): 90.00 90.00 90.00
Positions (direct):
1 S 0.000 0.000 0.500
2 N 0.000 0.500 0.000
3 N 0.500 0.000 0.000
4 Fe 0.000 0.000 0.000
5 Al 0.500 0.500 0.500

[3]
## AlFeSe2N (PBE)

Data for crystalline AlFeSe2N at its relaxed geometry.

Output
Raw formation energy (meV per atom): 196
Energy relative to the lowest polymorph listed for this composition (meV/atom): 0.0
Space group: No. 123
N(E_F) (states/eV per cell): 4.71

a b c (Å): 4.924 4.924 3.398
angles (deg): 90.00 90.00 90.00
Last column: magnetic moment on the atom in μB.
Positions (direct):
1 N 0.000 0.000 0.500  -0.02
2 Fe 0.000 0.000 0.000  0.30
3 Se 0.000 0.500 0.000  0.00
4 Se 0.500 0.000 0.000  0.00
5 Al 0.500 0.500 0.500  0.00

[4]
## AlFeSe2N (PBE)

Data for crystalline AlFeSe2N at its relaxed geometry.

Output
Raw formation energy (meV per atom): 812
Energy relative to the lowest polymorph listed for this composition (meV/atom): 616.7
Space group: No. 123
N(E_F) (states/eV per cell): 9.76

a b c (Å): 4.976 4.976 3.476
angles (deg): 90.00 90.00 90.00
Last column: magnetic moment on the atom in μB.
Positions (direct):
1 N 0.000 0.000 0.500  -0.07
2 Fe 0.500 0.500 0.500  -0.04
3 Se 0.000 0.500 0.000  -0.02
4 Se 0.500 0.000 0.000  -0.02
5 Al 0.000 0.000 0.000  0.00

[5]
## AlFeTeN2 (PBE)

Data for crystalline AlFeTeN2 at its relaxed geometry.

Output
Raw formation energy (meV per atom): 839
Energy relative to the lowest polymorph listed for this composition (meV/atom): 0.0
Space group: No. 123
N(E_F) (states/eV per cell): 3.78

a b c (Å): 3.730 3.730 5.390
angles (deg): 90.00 90.00 90.00
Positions (direct):
1 N 0.000 0.500 0.000
2 N 0.500 0.000 0.000
3 Te 0.000 0.000 0.500
4 Fe 0.000 0.000 0.000
5 Al 0.500 0.500 0.500

[6]
## AlFeTe2N (PBE)

Data for crystalline AlFeTe2N at its relaxed geometry.

Output
Raw formation energy (meV per atom): 221
Energy relative to the lowest polymorph listed for this composition (meV/atom): 0.0
Space group: No. 123
N(E_F) (states/eV per cell): 2.35

a b c (Å): 5.336 5.336 3.409
angles (deg): 90.00 90.00 90.00
Positions (direct):
1 N 0.000 0.000 0.500
2 Te 0.000 0.500 0.000
3 Te 0.500 0.000 0.000
4 Fe 0.000 0.000 0.000
5 Al 0.500 0.500 0.500

[7]
## AlFeTeN2 (PBE)

Data for crystalline AlFeTeN2 at its relaxed geometry.

Output
Raw formation energy (meV per atom): 936
Energy relative to the lowest polymorph listed for this composition (meV/atom): 96.2
Space group: No. 123
N(E_F) (states/eV per cell): 5.67

a b c (Å): 3.661 3.661 6.270
angles (deg): 90.00 90.00 90.00
Last column: magnetic moment on the atom in μB.
Positions (direct):
1 N 0.000 0.500 0.000  0.33
2 N 0.500 0.000 0.000  0.33
3 Te 0.000 0.000 0.500  0.16
4 Fe 0.500 0.500 0.500  3.03
5 Al 0.000 0.000 0.000  -0.01

[8]
## AlFeTe2N (PBE)

Data for crystalline AlFeTe2N at its relaxed geometry.

Output
Raw formation energy (meV per atom): 844
Energy relative to the lowest polymorph listed for this composition (meV/atom): 622.7
Space group: No. 123
N(E_F) (states/eV per cell): 10.40

a b c (Å): 5.484 5.484 3.417
angles (deg): 90.00 90.00 90.00
Last column: magnetic moment on the atom in μB.
Positions (direct):
1 N 0.000 0.000 0.500  -0.04
2 Te 0.000 0.500 0.000  0.03
3 Te 0.500 0.000 0.000  0.03
4 Fe 0.500 0.500 0.500  -0.06
5 Al 0.000 0.000 0.000  0.00